This record from Alexandria via LeMat-Bulk describes a geometry-optimized As3IN structure. The functional is PBE.

Unit cell a=4.555 b=4.555 c=4.555 alpha=90.00 beta=90.00 gamma=90.00
Sites, in units of the cell vectors:
As 0.000 0.000 0.500
As 0.000 0.500 0.000
As 0.500 0.000 0.000
I 0.500 0.500 0.500
N 0.000 0.000 0.000

Output
formation energy without anion corrections	985	meV/atom
size of the total moment	0.0	μB/cell
relative energy among the computed polymorphs	0.0	meV/atom


This record from Alexandria via LeMat-Bulk describes a geometry-optimized Y3Mn structure. The functional is PBE.

Unit cell a=5.889 b=5.889 c=5.889 alpha=132.11 beta=132.11 gamma=70.05
Sites, in units of the cell vectors:
Y 0.000 0.000 0.000
Y 0.250 0.750 0.500
Y 0.750 0.250 0.500
Mn 0.500 0.500 0.000

Output
size of the total moment	3.2	μB/cell
formation enthalpy at 0 K	262	meV/atom


This record from Alexandria via LeMat-Bulk describes a geometry-optimized Li3Er4Ir2 structure. The functional is PBE.

Unit cell a=4.771 b=4.771 c=9.619 alpha=90.00 beta=90.00 gamma=120.00
Sites, in units of the cell vectors:
Li 0.000 0.000 0.000
Li 0.333 0.667 0.498
Li 0.667 0.333 0.502
Er 0.000 0.000 0.311
Er 0.000 0.000 0.689
Er 0.333 0.667 0.888
Er 0.667 0.333 0.112
Ir 0.333 0.667 0.202
Ir 0.667 0.333 0.798

Output
size of the total moment	0.0	μB/cell
formation enthalpy at 0 K	-478	meV/atom